1.
Material: Tb5Pm2Tm12
Method: DFT, GGA-PBE
State: relaxed

Summary:
* M_tot: 0.0 Bohr magnetons per cell
* volume: 595.10 Å³ per cell
* Fermi-level density of states: 32.1 states/eV per cell
* energy relative to the elements: 0.073 eV/atom

abc: 6.5675 8.5967 13.4089
angles: 127.16 84.67 99.45
Sites, in units of the cell vectors:
Tb 0.2348 0.4525 0.5249
Tb 0.2087 0.7281 0.1689
Tb 0.0000 0.0000 0.5000
Tb 0.7913 0.2719 0.8311
Tb 0.7652 0.5475 0.4751
Pm 0.5437 0.8262 0.7775
Pm 0.4563 0.1738 0.2225
Tm 0.9346 0.0898 0.2628
Tm 0.1528 0.8275 0.9615
Tm 0.6382 0.7302 0.0043
Tm 0.1640 0.5156 0.2984
Tm 0.6801 0.6440 0.2431
Tm 0.4678 0.8856 0.5573
Tm 0.5322 0.1144 0.4427
Tm 0.8360 0.4844 0.7016
Tm 0.3199 0.3560 0.7569
Tm 0.8472 0.1725 0.0385
Tm 0.3618 0.2698 0.9957
Tm 0.0654 0.9102 0.7372


2.
Material: Tb12Pm5Tm
Method: DFT, GGA-PBE
State: relaxed

Summary:
* M_tot: 0.0 Bohr magnetons per cell
* volume: 585.17 Å³ per cell
* Fermi-level density of states: 26.9 states/eV per cell
* energy relative to the elements: 0.087 eV/atom

abc: 11.8434 10.4424 5.7446
angles: 90.00 89.99 55.45
Sites, in units of the cell vectors:
Tb 0.8007 0.0000 0.4978
Tb 0.1993 0.0000 0.5022
Tb 0.7027 0.0000 0.9978
Tb 0.2973 0.0000 0.0022
Tb 0.3327 0.6421 0.9998
Tb 0.0252 0.6421 0.0002
Tb 0.9748 0.3579 0.9998
Tb 0.6673 0.3579 0.0002
Tb 0.4724 0.3602 0.5002
Tb 0.8327 0.6398 0.5002
Tb 0.1674 0.3602 0.4998
Tb 0.5276 0.6398 0.4998
Pm 0.5000 0.0000 0.5000
Pm 0.1350 0.7300 0.5000
Pm 0.8650 0.2700 0.5000
Pm 0.6378 0.7244 0.0000
Pm 0.3622 0.2756 0.0000
Tm 0.0000 0.0000 0.0000


3.
Material: Tb7PmTm3
Method: DFT, GGA-PBE
State: relaxed

Summary:
* M_tot: 0.0 Bohr magnetons per cell
* volume: 356.60 Å³ per cell
* Fermi-level density of states: 16.2 states/eV per cell
* energy relative to the elements: 0.138 eV/atom

abc: 8.8884 9.8516 5.5366
angles: 89.99 128.53 105.46
Sites, in units of the cell vectors:
Tb 0.9224 0.8319 0.9227
Tb 0.8264 0.6432 0.3266
Tb 0.6463 0.2905 0.1462
Tb 0.3537 0.7095 0.8538
Tb 0.5000 0.0000 0.5000
Tb 0.1736 0.3568 0.6734
Tb 0.0776 0.1681 0.0773
Pm 0.5000 0.5000 0.5000
Tm 0.2227 0.0023 0.7227
Tm 0.0000 0.5000 0.0000
Tm 0.7773 0.9977 0.2773


4.
Material: Tb4Pm9Tm11
Method: DFT, GGA-PBE
State: relaxed

Summary:
* M_tot: 0.0 Bohr magnetons per cell
* volume: 775.75 Å³ per cell
* Fermi-level density of states: 31.3 states/eV per cell
* energy relative to the elements: 0.049 eV/atom

abc: 3.7014 15.1082 15.1082
angles: 113.34 90.00 90.00
Sites, in units of the cell vectors:
Tb 0.5000 0.5550 0.7548
Tb 0.5000 0.4450 0.2452
Tb 0.5000 0.7548 0.5550
Tb 0.5000 0.2452 0.4450
Pm 0.5000 0.6299 0.1622
Pm 0.5000 0.3701 0.8378
Pm 0.5000 0.1622 0.6299
Pm 0.5000 0.8378 0.3701
Pm 0.5000 0.7876 0.9354
Pm 0.5000 0.2124 0.0646
Pm 0.5000 0.9354 0.7876
Pm 0.5000 0.0646 0.2124
Pm 0.5000 0.5000 0.5000
Tm 0.0000 0.5942 0.9549
Tm 0.0000 0.4058 0.0451
Tm 0.0000 0.9549 0.5942
Tm 0.0000 0.0451 0.4058
Tm 0.0000 0.6341 0.3659
Tm 0.0000 0.3659 0.6341
Tm 0.0000 0.8387 0.1613
Tm 0.0000 0.1613 0.8387
Tm 0.0000 0.0000 0.0000
Tm 0.0000 0.7127 0.7127
Tm 0.0000 0.2873 0.2873


5.
Material: Tb12PmTm3
Method: DFT, GGA-PBE
State: relaxed

Summary:
* M_tot: 0.0 Bohr magnetons per cell
* volume: 508.18 Å³ per cell
* Fermi-level density of states: 21.6 states/eV per cell
* energy relative to the elements: 0.019 eV/atom

abc: 5.0289 5.0289 20.0944
angles: 90.00 90.00 90.00
Sites, in units of the cell vectors:
Tb 0.5000 0.5000 0.0000
Tb 0.5000 0.5000 0.2518
Tb 0.5000 0.5000 0.5000
Tb 0.5000 0.5000 0.7482
Tb 0.5000 0.0000 0.1269
Tb 0.5000 0.0000 0.3756
Tb 0.5000 0.0000 0.6244
Tb 0.5000 0.0000 0.8731
Tb 0.0000 0.5000 0.1269
Tb 0.0000 0.5000 0.3756
Tb 0.0000 0.5000 0.6244
Tb 0.0000 0.5000 0.8731
Pm 0.0000 0.0000 0.0000
Tm 0.0000 0.0000 0.2512
Tm 0.0000 0.0000 0.5000
Tm 0.0000 0.0000 0.7488


6.
Material: Tb2Pm6Tm
Method: DFT, GGA-PBE
State: relaxed

Summary:
* M_tot: 0.0 Bohr magnetons per cell
* volume: 597.78 Å³ per cell
* Fermi-level density of states: 24.5 states/eV per cell
* energy relative to the elements: 0.084 eV/atom

abc: 6.2201 10.0996 10.0996
angles: 71.34 85.10 85.10
Sites, in units of the cell vectors:
Tb 0.4184 0.5686 0.7661
Tb 0.0816 0.2339 0.4314
Tb 0.5816 0.4314 0.2339
Tb 0.9184 0.7661 0.5686
Pm 0.4866 0.6885 0.4060
Pm 0.0134 0.5940 0.3115
Pm 0.5134 0.3115 0.5940
Pm 0.9866 0.4060 0.6885
Pm 0.6520 0.0721 0.3527
Pm 0.8480 0.6473 0.9279
Pm 0.3480 0.9279 0.6473
Pm 0.1520 0.3527 0.0721
Pm 0.3203 0.7415 0.0229
Pm 0.1797 0.9771 0.2585
Pm 0.6797 0.2585 0.9771
Pm 0.8203 0.0229 0.7415
Tm 0.2500 0.0990 0.9010
Tm 0.7500 0.9010 0.0990


7.
Material: TbPm2Tm
Method: DFT, GGA-PBE
State: relaxed

Summary:
* M_tot: 0.0 Bohr magnetons per cell
* volume: 129.93 Å³ per cell
* Fermi-level density of states: 4.6 states/eV per cell
* energy relative to the elements: 0.015 eV/atom

abc: 3.5911 3.5911 11.8175
angles: 81.26 81.26 60.00
Sites, in units of the cell vectors:
Tm 0.0000 0.0000 0.0000
Tb 0.5000 0.5000 0.5000
Pm 0.7493 0.7493 0.7522
Pm 0.2507 0.2507 0.2478


8.
Material: TbPm2Tm9
Method: DFT, GGA-PBE
State: relaxed

Summary:
* M_tot: 0.0 Bohr magnetons per cell
* volume: 373.81 Å³ per cell
* Fermi-level density of states: 23.3 states/eV per cell
* energy relative to the elements: 0.127 eV/atom

abc: 5.8022 5.8022 11.1035
angles: 90.00 90.00 90.00
Sites, in units of the cell vectors:
Tb 0.0000 0.0000 0.0000
Pm 0.0000 0.0000 0.3325
Pm 0.0000 0.0000 0.6675
Tm 0.5000 0.5000 0.0000
Tm 0.5000 0.5000 0.3331
Tm 0.5000 0.5000 0.6669
Tm 0.5000 0.0000 0.1648
Tm 0.5000 0.0000 0.5000
Tm 0.5000 0.0000 0.8352
Tm 0.0000 0.5000 0.1648
Tm 0.0000 0.5000 0.5000
Tm 0.0000 0.5000 0.8352


9.
Material: TbPm10Tm6
Method: DFT, GGA-PBE
State: relaxed

Summary:
* M_tot: 0.0 Bohr magnetons per cell
* volume: 565.53 Å³ per cell
* Fermi-level density of states: 25.2 states/eV per cell
* energy relative to the elements: 0.130 eV/atom

abc: 6.8557 9.7596 9.7596
angles: 120.00 90.00 90.00
Sites, in units of the cell vectors:
Tb 0.5000 0.0000 0.0000
Pm 0.8177 0.7235 0.7235
Pm 0.8177 0.0000 0.2765
Pm 0.8177 0.2765 0.0000
Pm 0.1823 0.2765 0.2765
Pm 0.1823 0.0000 0.7235
Pm 0.1823 0.7235 0.0000
Pm 0.5000 0.3333 0.6667
Pm 0.5000 0.6667 0.3333
Pm 0.0000 0.6667 0.3333
Pm 0.0000 0.3333 0.6667
Tm 0.6875 0.3693 0.3693
Tm 0.6875 0.0000 0.6307
Tm 0.6875 0.6307 0.0000
Tm 0.3125 0.6307 0.6307
Tm 0.3125 0.0000 0.3693
Tm 0.3125 0.3693 0.0000


10.
Material: Tb8PmTm5
Method: DFT, GGA-PBE
State: relaxed

Summary:
* M_tot: 0.0 Bohr magnetons per cell
* volume: 456.18 Å³ per cell
* Fermi-level density of states: 21.5 states/eV per cell
* energy relative to the elements: 0.250 eV/atom

abc: 8.4098 8.4099 8.4098
angles: 111.52 105.44 111.52
Sites, in units of the cell vectors:
Tb 0.1632 0.7376 0.0794
Tb 0.9206 0.0837 0.6582
Tb 0.7234 0.2543 0.3289
Tb 0.6711 0.3945 0.9253
Tb 0.5309 0.6055 0.2766
Tb 0.5744 0.9163 0.8368
Tb 0.3418 0.2624 0.4256
Tb 0.0747 0.7457 0.4691
Pm 0.2500 0.5000 0.7500
Tm 0.0397 0.3195 0.1340
Tm 0.8660 0.9056 0.1855
Tm 0.8145 0.6805 0.7202
Tm 0.5000 0.0000 0.5000
Tm 0.2798 0.0944 0.9603


11.
Material: Tb7Pm3Tm2
Method: DFT, GGA-PBE
State: relaxed

Summary:
* M_tot: 0.0 Bohr magnetons per cell
* volume: 413.19 Å³ per cell
* Fermi-level density of states: 19.4 states/eV per cell
* energy relative to the elements: 0.290 eV/atom

abc: 6.5015 6.5015 11.8952
angles: 74.14 74.14 60.00
Sites, in units of the cell vectors:
Tb 0.5000 0.5000 0.5000
Tb 0.0820 0.5843 0.7494
Tb 0.5843 0.5843 0.7494
Tb 0.5843 0.0820 0.7494
Tb 0.9180 0.4157 0.2506
Tb 0.4157 0.9180 0.2506
Tb 0.4157 0.4157 0.2506
Pm 0.0000 0.0000 0.0000
Pm 0.1553 0.1553 0.5342
Pm 0.8447 0.8447 0.4658
Tm 0.3333 0.3333 0.0001
Tm 0.6667 0.6667 0.9999


12.
Material: Tb6PmTm2
Method: DFT, GGA-PBE
State: relaxed

Summary:
* M_tot: 0.0 Bohr magnetons per cell
* volume: 285.53 Å³ per cell
* Fermi-level density of states: 12.5 states/eV per cell
* energy relative to the elements: 0.017 eV/atom

abc: 3.5569 8.6956 12.7946
angles: 132.72 82.01 90.04
Sites, in units of the cell vectors:
Tb 0.8896 0.5563 0.2213
Tb 0.1104 0.4437 0.7787
Tb 0.6673 0.6652 0.6657
Tb 0.7785 0.1087 0.4433
Tb 0.2215 0.8913 0.5567
Tb 0.3327 0.3348 0.3343
Pm 0.0000 0.0000 0.0000
Tm 0.4442 0.7759 0.1110
Tm 0.5558 0.2241 0.8890


13.
Material: TbPmTm4
Method: DFT, GGA-PBE
State: relaxed

Summary:
* M_tot: 1.6 Bohr magnetons per cell
* volume: 198.25 Å³ per cell
* Fermi-level density of states: 13.2 states/eV per cell
* energy relative to the elements: 0.286 eV/atom

abc: 6.5450 6.5450 6.5450
angles: 60.00 60.00 60.00
Each line ends with the local moment (μB).
Sites, in units of the cell vectors:
Tm 0.6255 0.6255 0.1236  0.10
Tm 0.6255 0.1236 0.6255  0.10
Tm 0.6255 0.6255 0.6255  0.10
Tm 0.1236 0.6255 0.6255  0.10
Tb 0.0000 0.0000 0.0000  0.04
Pm 0.2500 0.2500 0.2500  0.44


14.
Material: Tb12PmTm6
Method: DFT, GGA-PBE
State: relaxed

Summary:
* M_tot: 0.0 Bohr magnetons per cell
* volume: 607.83 Å³ per cell
* Fermi-level density of states: 21.6 states/eV per cell
* energy relative to the elements: 0.242 eV/atom

abc: 9.2428 9.2428 9.2428
angles: 109.47 109.47 109.47
Sites, in units of the cell vectors:
Tb 0.2626 0.0671 0.8045
Tb 0.2626 0.4582 0.1955
Tb 0.7374 0.5419 0.8045
Tb 0.7374 0.9329 0.1955
Tb 0.0671 0.8045 0.2626
Tb 0.4582 0.1955 0.2626
Tb 0.5419 0.8045 0.7374
Tb 0.9329 0.1955 0.7374
Tb 0.8045 0.2626 0.0671
Tb 0.1955 0.2626 0.4582
Tb 0.8045 0.7374 0.5419
Tb 0.1955 0.7374 0.9329
Pm 0.0000 0.0000 0.0000
Tm 0.3578 0.5000 0.8578
Tm 0.6422 0.5000 0.1422
Tm 0.5000 0.8578 0.3578
Tm 0.5000 0.1422 0.6422
Tm 0.8578 0.3578 0.5000
Tm 0.1422 0.6422 0.5000


15.
Material: Tb2Pm3Tm2
Method: DFT, GGA-PBE
State: relaxed

Summary:
* M_tot: 0.0 Bohr magnetons per cell
* volume: 226.47 Å³ per cell
* Fermi-level density of states: 9.5 states/eV per cell
* energy relative to the elements: 0.017 eV/atom

abc: 5.0565 6.1822 8.0213
angles: 97.49 90.00 114.14
Sites, in units of the cell vectors:
Tb 0.7851 0.5702 0.8584
Tb 0.2149 0.4298 0.1416
Pm 0.5000 0.0000 0.0000
Pm 0.6423 0.2845 0.4284
Pm 0.3577 0.7155 0.5716
Tm 0.9282 0.8565 0.2855
Tm 0.0718 0.1435 0.7145


16.
Material: TbPmTm4
Method: DFT, GGA-PBE
State: relaxed

Summary:
* M_tot: 0.0 Bohr magnetons per cell
* volume: 383.04 Å³ per cell
* Fermi-level density of states: 20.2 states/eV per cell
* energy relative to the elements: 0.159 eV/atom

abc: 6.4386 8.9088 8.4605
angles: 112.25 100.14 112.86
Sites, in units of the cell vectors:
Tb 0.3372 0.5872 0.1744
Tb 0.6628 0.4128 0.8256
Pm 0.2485 0.9985 0.9969
Pm 0.7515 0.0015 0.0031
Tm 0.0446 0.1667 0.7372
Tm 0.7439 0.7113 0.6086
Tm 0.1927 0.5705 0.7372
Tm 0.3648 0.8973 0.6086
Tm 0.6352 0.1027 0.3914
Tm 0.8073 0.4295 0.2628
Tm 0.2561 0.2887 0.3914
Tm 0.9554 0.8333 0.2628


17.
Material: Tb2Pm3Tm3
Method: DFT, GGA-PBE
State: relaxed

Summary:
* M_tot: 0.0 Bohr magnetons per cell
* volume: 258.36 Å³ per cell
* Fermi-level density of states: 17.7 states/eV per cell
* energy relative to the elements: 0.128 eV/atom

abc: 5.9251 5.9354 8.4598
angles: 110.55 110.50 90.00
Sites, in units of the cell vectors:
Tb 0.7522 0.7516 0.5045
Tb 0.2478 0.2484 0.4955
Pm 0.3723 0.8728 0.7447
Pm 0.5000 0.5000 0.0000
Pm 0.6277 0.1272 0.2553
Tm 0.8762 0.3758 0.7525
Tm 0.1238 0.6242 0.2475
Tm 0.0000 0.0000 0.0000


18.
Material: Tb5PmTm4
Method: DFT, GGA-PBE
State: relaxed

Summary:
* M_tot: 0.0 Bohr magnetons per cell
* volume: 323.22 Å³ per cell
* Fermi-level density of states: 14.3 states/eV per cell
* energy relative to the elements: 0.306 eV/atom

abc: 6.3026 7.8239 7.8239
angles: 80.66 66.25 66.25
Sites, in units of the cell vectors:
Tb 0.8058 0.3791 0.9097
Tb 0.1849 0.9097 0.6209
Tb 0.7155 0.0903 0.3791
Tb 0.0946 0.6209 0.0903
Tb 0.6777 0.0000 0.0000
Pm 0.2226 0.0000 0.0000
Tm 0.4019 0.3988 0.7020
Tm 0.8007 0.7020 0.6012
Tm 0.1039 0.2980 0.3988
Tm 0.5027 0.6012 0.2980


19.
Material: TbPmTm4
Method: DFT, GGA-PBE
State: relaxed

Summary:
* M_tot: 0.0 Bohr magnetons per cell
* volume: 185.91 Å³ per cell
* Fermi-level density of states: 10.0 states/eV per cell
* energy relative to the elements: 0.081 eV/atom

abc: 3.4326 6.5603 9.6858
angles: 90.00 90.00 121.53
Sites, in units of the cell vectors:
Tb 0.4973 0.5013 0.0019
Pm 0.9973 0.0013 0.5019
Tm 0.9973 0.5013 0.6701
Tm 0.9972 0.5013 0.3337
Tm 0.4973 0.0013 0.1670
Tm 0.4972 0.0013 0.8368


20.
Material: TbPm3Tm
Method: DFT, GGA-PBE
State: relaxed

Summary:
* M_tot: 0.0 Bohr magnetons per cell
* volume: 329.78 Å³ per cell
* Fermi-level density of states: 13.8 states/eV per cell
* energy relative to the elements: 0.017 eV/atom

abc: 5.0860 6.2397 11.3797
angles: 90.15 90.00 114.05
Sites, in units of the cell vectors:
Tb 0.3502 0.7004 0.5497
Tb 0.6498 0.2996 0.4503
Pm 0.7493 0.4987 0.7519
Pm 0.2507 0.5013 0.2481
Pm 0.4481 0.8963 0.8517
Pm 0.5519 0.1037 0.1483
Pm 0.9495 0.8990 0.3491
Pm 0.0505 0.1010 0.6509
Tm 0.1496 0.2992 0.9513
Tm 0.8504 0.7008 0.0487